[1]
DFT (PBE+U) results for a relaxed V3O4F2 crystal.

Properties
Its uncorrected energy is -7.32 eV per atom. The size of the total moment comes out at 5.000 μB/f.u. For the energy above the most stable polymorph in this dataset, the calculation gives 0.068 eV/atom.

Cell: 5.161 9.001 5.638 Å, 109.67 64.10 90.99°
Last column: magnetic moment on the atom in μB.
Sites, in units of the cell vectors:
V 0.974 0.689 0.060  1.20
V 0.291 0.584 0.430  1.94
V 0.802 0.099 0.413  1.26
V 0.475 0.178 0.040  1.87
V 0.476 0.833 0.019  1.88
V 0.000 0.337 0.983  1.92
O 0.233 0.379 0.205  -0.07
O 0.724 0.885 0.240  -0.05
O 0.739 0.212 0.232  -0.07
O 0.222 0.715 0.243  -0.05
O 0.740 0.545 0.197  -0.08
O 0.210 0.042 0.215  -0.07
O 0.269 0.745 0.780  -0.08
O 0.811 0.230 0.748  -0.07
F 0.239 0.460 0.736  0.01
F 0.719 0.952 0.780  0.00
F 0.815 0.644 0.758  0.00
F 0.337 0.142 0.730  0.00

=====

[2]
DFT (PBE+U) results for a relaxed VO2F2 crystal.

Properties
Its uncorrected energy is -5.53 eV per atom. The size of the total moment comes out at 1.000 μB/f.u.

Cell: 3.717 3.717 3.854 Å, 90.00 90.00 90.00°
Last column: magnetic moment on the atom in μB.
Sites, in units of the cell vectors:
F 0.500 0.500 0.500  0.53
F 0.000 0.000 0.500  0.03
O 0.000 0.500 0.000  0.46
O 0.500 0.000 0.000  0.46
V 0.000 0.000 0.000  -0.66

=====

[3]
DFT (PBE+U) results for a relaxed V3O2F5 crystal.

Properties
Its uncorrected energy is -6.69 eV per atom. The size of the total moment comes out at 6.000 μB/f.u.

Cell: 6.415 7.499 8.498 Å, 116.18 112.17 90.00°
Last column: magnetic moment on the atom in μB.
Sites, in units of the cell vectors:
V 0.115 0.115 0.230  1.95
V 0.500 0.500 0.500  1.95
V 0.000 0.500 0.500  1.95
V 0.000 0.000 0.500  1.95
V 0.500 0.000 0.500  1.95
V 0.885 0.885 0.770  1.95
O 0.014 0.791 0.581  -0.07
O 0.567 0.791 0.581  -0.07
O 0.986 0.209 0.419  -0.07
O 0.433 0.209 0.419  -0.07
F 0.192 0.000 0.000  0.01
F 0.808 0.000 0.000  0.01
F 0.149 0.872 0.298  0.01
F 0.851 0.574 0.702  0.01
F 0.334 0.555 0.668  -0.01
F 0.666 0.887 0.332  -0.01
F 0.666 0.445 0.332  -0.01
F 0.334 0.113 0.668  -0.01
F 0.851 0.128 0.702  0.01
F 0.149 0.426 0.298  0.01

=====

[4]
DFT (PBE+U) results for a relaxed V2O3F crystal.

Properties
Its uncorrected energy is -7.50 eV per atom. The size of the total moment comes out at 3.000 μB/f.u. For the energy above the most stable polymorph in this dataset, the calculation gives 0.001 eV/atom.

Cell: 4.769 4.769 5.982 Å, 90.00 90.00 95.67°
Last column: magnetic moment on the atom in μB.
Sites, in units of the cell vectors:
V 0.500 0.500 0.000  1.89
V 0.500 0.500 0.500  1.89
V 0.054 0.946 0.750  1.20
V 0.946 0.054 0.250  1.20
O 0.695 0.305 0.250  -0.09
O 0.305 0.695 0.750  -0.09
O 0.809 0.809 0.500  -0.06
O 0.809 0.809 0.000  -0.06
O 0.191 0.191 0.500  -0.06
O 0.191 0.191 0.000  -0.06
F 0.694 0.306 0.750  0.01
F 0.306 0.694 0.250  0.01

=====

[5]
DFT (PBE+U) results for a relaxed V4O5F7 crystal.

Properties
Its uncorrected energy is -6.54 eV per atom. The size of the total moment comes out at 3.000 μB/f.u. For the energy above the most stable polymorph in this dataset, the calculation gives 0.048 eV/atom.

Cell: 5.241 7.473 5.417 Å, 92.49 90.00 90.00°
Last column: magnetic moment on the atom in μB.
Sites, in units of the cell vectors:
V 0.530 0.505 0.470  1.10
V 0.530 0.995 0.530  1.10
V 0.029 0.509 0.961  0.69
V 0.029 0.991 0.039  0.69
O 0.775 0.538 0.284  -0.14
O 0.775 0.962 0.716  -0.14
O 0.198 0.033 0.295  -0.08
O 0.198 0.467 0.705  -0.08
O 0.069 0.750 0.000  -0.20
F 0.926 0.250 0.000  -0.01
F 0.700 0.958 0.208  0.01
F 0.700 0.542 0.792  0.01
F 0.577 0.250 0.500  0.01
F 0.399 0.750 0.500  0.01
F 0.281 0.452 0.203  0.00
F 0.281 0.048 0.797  0.00

=====

[6]
DFT (PBE+U) results for a relaxed V3O5F crystal.

Properties
Its uncorrected energy is -7.57 eV per atom. The size of the total moment comes out at 4.000 μB/f.u. For the energy above the most stable polymorph in this dataset, the calculation gives 0.023 eV/atom.

Cell: 5.512 5.512 7.267 Å, 72.11 72.11 70.74°
Last column: magnetic moment on the atom in μB.
Sites, in units of the cell vectors:
V 0.330 0.330 0.154  1.15
V 0.350 0.350 0.666  1.15
V 0.000 0.000 0.000  1.90
V 0.000 0.000 0.500  1.85
V 0.670 0.670 0.846  1.15
V 0.650 0.650 0.334  1.15
O 0.629 0.036 0.670  -0.07
O 0.307 0.693 0.000  -0.07
O 0.235 0.235 0.967  -0.08
O 0.569 0.569 0.628  -0.05
O 0.431 0.431 0.372  -0.05
O 0.765 0.765 0.033  -0.08
O 0.036 0.629 0.670  -0.07
O 0.693 0.307 0.000  -0.07
O 0.371 0.964 0.330  -0.07
O 0.964 0.371 0.330  -0.07
F 0.892 0.892 0.302  0.01
F 0.108 0.108 0.698  0.01

=====

[7]
DFT (PBE+U) results for a relaxed V4O5F7 crystal.

Properties
Its uncorrected energy is -6.56 eV per atom. The size of the total moment comes out at 3.000 μB/f.u. For the energy above the most stable polymorph in this dataset, the calculation gives 0.025 eV/atom.

Cell: 5.346 5.346 9.037 Å, 75.10 75.10 60.76°
Last column: magnetic moment on the atom in μB.
Sites, in units of the cell vectors:
V 0.748 0.490 0.624  1.50
V 0.510 0.252 0.376  1.50
V 0.206 0.038 0.139  0.20
V 0.962 0.794 0.861  0.20
O 0.835 0.678 0.752  -0.06
O 0.660 0.340 0.500  -0.24
O 0.832 0.149 0.791  -0.07
O 0.851 0.168 0.209  -0.07
O 0.322 0.165 0.248  -0.06
F 0.321 0.665 0.274  0.00
F 0.335 0.679 0.726  0.00
F 0.160 0.314 0.538  0.01
F 0.190 0.314 0.963  0.00
F 0.198 0.802 0.000  0.00
F 0.686 0.810 0.037  0.00
F 0.686 0.840 0.462  0.01

=====

[8]
DFT (PBE+U) results for a relaxed V2O3F crystal.

Properties
Its uncorrected energy is -7.48 eV per atom. The size of the total moment comes out at 3.000 μB/f.u. For the energy above the most stable polymorph in this dataset, the calculation gives 0.018 eV/atom.

Cell: 4.681 6.073 9.828 Å, 107.54 92.04 89.47°
Last column: magnetic moment on the atom in μB.
Sites, in units of the cell vectors:
V 0.551 0.860 0.229  1.16
V 0.497 0.129 0.744  1.90
V 0.457 0.393 0.275  1.16
V 0.463 0.612 0.753  1.17
V 0.982 0.242 0.499  1.94
V 0.013 0.499 0.994  1.90
V 0.055 0.004 0.003  1.17
V 0.989 0.758 0.506  1.93
O 0.188 0.452 0.402  -0.09
O 0.199 0.714 0.904  -0.07
O 0.199 0.193 0.901  -0.07
O 0.312 0.809 0.656  -0.08
O 0.306 0.080 0.153  -0.07
O 0.317 0.576 0.153  -0.06
O 0.286 0.330 0.650  -0.05
O 0.687 0.170 0.343  -0.06
O 0.692 0.447 0.847  -0.09
O 0.693 0.670 0.345  -0.06
O 0.814 0.806 0.098  -0.08
O 0.802 0.047 0.600  -0.07
F 0.202 0.947 0.397  0.01
F 0.705 0.926 0.856  0.00
F 0.782 0.547 0.600  0.01
F 0.808 0.290 0.094  0.00

=====

[9]
DFT (PBE+U) results for a relaxed V3O4F2 crystal.

Properties
Its uncorrected energy is -7.37 eV per atom. The size of the total moment comes out at 5.000 μB/f.u. For the energy above the most stable polymorph in this dataset, the calculation gives 0.021 eV/atom.

Cell: 4.638 5.583 7.750 Å, 86.56 88.72 88.81°
Last column: magnetic moment on the atom in μB.
Sites, in units of the cell vectors:
F 0.806 0.034 0.772  0.01
F 0.696 0.203 0.102  0.00
F 0.205 0.966 0.235  0.01
F 0.196 0.634 0.556  0.01
O 0.808 0.370 0.436  -0.07
O 0.794 0.698 0.099  -0.07
O 0.692 0.537 0.771  -0.07
O 0.714 0.862 0.428  -0.08
O 0.306 0.131 0.576  -0.07
O 0.292 0.477 0.233  -0.08
O 0.305 0.796 0.893  -0.08
O 0.204 0.298 0.912  -0.09
V 0.510 0.831 0.657  1.88
V 0.476 0.511 0.988  1.23
V 0.504 0.182 0.352  1.90
V 0.007 0.336 0.671  1.97
V 0.967 0.645 0.319  1.22
V 0.017 0.989 0.000  1.94

=====

[10]
DFT (PBE+U) results for a relaxed V4O3F9 crystal.

Properties
Its uncorrected energy is -6.21 eV per atom. The size of the total moment comes out at 7.000 μB/f.u. For the energy above the most stable polymorph in this dataset, the calculation gives 0.208 eV/atom.

Cell: 6.016 5.387 8.999 Å, 110.49 87.07 121.84°
Last column: magnetic moment on the atom in μB.
Sites, in units of the cell vectors:
V 0.188 0.905 0.660  1.96
V 0.503 0.555 0.519  1.17
V 0.249 0.000 0.072  1.92
V 0.828 0.248 0.964  1.93
O 0.007 0.614 0.882  -0.05
O 0.412 0.279 0.594  -0.14
O 0.006 0.551 0.715  -0.10
F 0.248 0.625 0.461  -0.01
F 0.056 0.132 0.823  0.01
F 0.539 0.923 0.047  0.00
F 0.558 0.918 0.720  0.00
F 0.516 0.300 0.971  0.00
F 0.466 0.327 0.295  0.01
F 0.019 0.664 0.156  0.01
F 0.034 0.179 0.107  -0.01
F 0.872 0.780 0.514  0.00

=====

[11]
DFT (PBE+U) results for a relaxed V4O3F9 crystal.

Properties
Its uncorrected energy is -6.38 eV per atom. The size of the total moment comes out at 5.000 μB/f.u. For the energy above the most stable polymorph in this dataset, the calculation gives 0.033 eV/atom.

Cell: 5.338 7.277 5.445 Å, 92.39 90.00 90.00°
Last column: magnetic moment on the atom in μB.
Sites, in units of the cell vectors:
V 0.500 0.499 0.500  1.10
V 0.500 0.001 0.500  1.10
V 0.004 0.511 0.000  1.56
V 0.004 0.989 0.000  1.56
O 0.553 0.250 0.500  -0.13
O 0.446 0.750 0.500  -0.13
O 0.071 0.750 0.000  -0.24
F 0.924 0.250 0.000  -0.02
F 0.808 0.533 0.310  0.01
F 0.808 0.967 0.690  0.01
F 0.692 0.965 0.190  0.00
F 0.692 0.535 0.810  0.00
F 0.307 0.459 0.192  0.00
F 0.307 0.041 0.808  0.00
F 0.192 0.039 0.309  0.01
F 0.192 0.461 0.691  0.01

=====

[12]
DFT (PBE+U) results for a relaxed V3O4F2 crystal.

Properties
Its uncorrected energy is -7.38 eV per atom. The size of the total moment comes out at 5.000 μB/f.u. For the energy above the most stable polymorph in this dataset, the calculation gives 0.013 eV/atom.

Cell: 4.609 4.609 9.361 Å, 90.00 90.00 90.00°
Last column: magnetic moment on the atom in μB.
Sites, in units of the cell vectors:
V 0.000 0.000 0.021  1.26
V 0.000 0.000 0.337  1.87
V 0.000 0.000 0.653  1.92
V 0.500 0.500 0.153  1.92
V 0.500 0.500 0.837  1.87
V 0.500 0.500 0.521  1.26
O 0.196 0.804 0.170  -0.06
O 0.210 0.790 0.493  -0.08
O 0.290 0.290 0.993  -0.08
O 0.304 0.304 0.670  -0.06
O 0.710 0.710 0.993  -0.08
O 0.696 0.696 0.670  -0.06
O 0.804 0.196 0.170  -0.06
O 0.790 0.210 0.493  -0.08
F 0.190 0.810 0.834  0.00
F 0.310 0.310 0.334  0.00
F 0.690 0.690 0.334  0.00
F 0.810 0.190 0.834  0.00

=====

[13]
DFT (PBE+U) results for a relaxed V3O4F2 crystal.

Properties
Its uncorrected energy is -7.38 eV per atom. The size of the total moment comes out at 5.000 μB/f.u. For the energy above the most stable polymorph in this dataset, the calculation gives 0.013 eV/atom.

Cell: 4.704 4.715 9.030 Å, 90.00 90.00 90.00°
Last column: magnetic moment on the atom in μB.
Sites, in units of the cell vectors:
F 0.300 0.044 0.829  0.00
F 0.300 0.044 0.171  0.00
F 0.800 0.956 0.671  0.00
F 0.800 0.956 0.329  0.00
O 0.207 0.524 0.000  -0.09
O 0.197 0.564 0.329  -0.09
O 0.197 0.564 0.671  -0.09
O 0.697 0.436 0.829  -0.09
O 0.697 0.436 0.171  -0.09
O 0.707 0.476 0.500  -0.09
O 0.302 0.066 0.500  -0.11
O 0.802 0.934 0.000  -0.11
V 0.988 0.710 0.846  1.62
V 0.988 0.710 0.154  1.62
V 0.020 0.754 0.500  1.90
V 0.520 0.246 0.000  1.90
V 0.488 0.290 0.654  1.62
V 0.488 0.290 0.346  1.62

=====

[14]
DFT (PBE+U) results for a relaxed V3O5F crystal.

Properties
Its uncorrected energy is -7.56 eV per atom. The size of the total moment comes out at 4.000 μB/f.u. For the energy above the most stable polymorph in this dataset, the calculation gives 0.033 eV/atom.

Cell: 5.595 5.595 7.588 Å, 68.73 68.73 69.75°
Last column: magnetic moment on the atom in μB.
Sites, in units of the cell vectors:
F 0.058 0.058 0.122  0.00
F 0.942 0.942 0.878  0.00
O 0.808 0.192 0.500  -0.07
O 0.129 0.523 0.178  -0.05
O 0.394 0.394 0.809  -0.10
O 0.733 0.733 0.455  -0.08
O 0.267 0.267 0.545  -0.08
O 0.606 0.606 0.191  -0.10
O 0.871 0.477 0.822  -0.05
O 0.192 0.808 0.500  -0.07
O 0.523 0.129 0.178  -0.05
O 0.477 0.871 0.822  -0.05
V 0.817 0.817 0.628  1.20
V 0.500 0.500 0.500  1.79
V 0.807 0.807 0.169  1.17
V 0.500 0.500 0.000  1.85
V 0.183 0.183 0.372  1.20
V 0.193 0.193 0.831  1.17

=====

[15]
DFT (PBE+U) results for a relaxed V3O4F2 crystal.

Properties
Its uncorrected energy is -7.38 eV per atom. The size of the total moment comes out at 5.000 μB/f.u. For the energy above the most stable polymorph in this dataset, the calculation gives 0.014 eV/atom.

Cell: 5.613 5.613 7.567 Å, 69.86 69.86 69.74°
Last column: magnetic moment on the atom in μB.
Sites, in units of the cell vectors:
F 0.228 0.228 0.963  0.00
F 0.566 0.566 0.629  0.00
F 0.897 0.897 0.294  0.01
F 0.099 0.099 0.699  0.01
O 0.632 0.025 0.669  -0.07
O 0.974 0.366 0.328  -0.06
O 0.767 0.767 0.029  -0.09
O 0.432 0.432 0.368  -0.09
O 0.692 0.306 0.999  -0.07
O 0.025 0.632 0.669  -0.07
O 0.366 0.974 0.328  -0.06
O 0.306 0.692 0.999  -0.07
V 0.679 0.679 0.856  1.22
V 0.333 0.333 0.663  1.94
V 0.663 0.663 0.323  1.90
V 0.346 0.346 0.194  1.21
V 0.998 0.998 0.496  1.91
V 0.994 0.994 0.995  1.93

=====

[16]
DFT (PBE+U) results for a relaxed V3O4F2 crystal.

Properties
Its uncorrected energy is -7.36 eV per atom. The size of the total moment comes out at 5.000 μB/f.u. For the energy above the most stable polymorph in this dataset, the calculation gives 0.033 eV/atom.

Cell: 4.659 5.541 7.734 Å, 94.53 90.57 90.08°
Last column: magnetic moment on the atom in μB.
Sites, in units of the cell vectors:
F 0.200 0.361 0.562  0.00
F 0.302 0.204 0.890  0.00
F 0.698 0.796 0.110  0.00
F 0.800 0.639 0.438  0.00
O 0.209 0.697 0.913  -0.11
O 0.201 0.038 0.226  -0.07
O 0.310 0.542 0.234  -0.08
O 0.293 0.868 0.574  -0.10
O 0.707 0.132 0.426  -0.10
O 0.690 0.458 0.766  -0.08
O 0.799 0.962 0.774  -0.07
O 0.791 0.303 0.087  -0.11
V 0.460 0.852 0.347  1.61
V 0.500 0.500 0.000  1.40
V 0.540 0.148 0.653  1.61
V 0.000 0.332 0.317  1.90
V 0.000 0.668 0.683  1.90
V 0.000 0.000 0.000  1.84

=====

[17]
DFT (PBE+U) results for a relaxed V3O4F2 crystal.

Properties
Its uncorrected energy is -7.37 eV per atom. The size of the total moment comes out at 5.000 μB/f.u. For the energy above the most stable polymorph in this dataset, the calculation gives 0.019 eV/atom.

Cell: 5.596 5.592 7.373 Å, 71.52 71.67 70.83°
Last column: magnetic moment on the atom in μB.
Sites, in units of the cell vectors:
V 0.678 0.701 0.841  1.29
V 0.327 0.342 0.673  1.91
V 0.647 0.650 0.322  1.26
V 0.321 0.330 0.169  1.90
V 0.999 0.002 0.495  1.86
V 0.030 0.983 0.000  1.95
O 0.022 0.646 0.669  -0.08
O 0.369 0.956 0.336  -0.08
O 0.229 0.229 0.966  -0.07
O 0.769 0.769 0.036  -0.08
O 0.429 0.433 0.373  -0.07
O 0.322 0.687 0.992  -0.08
O 0.638 0.033 0.671  -0.09
O 0.946 0.373 0.336  -0.10
F 0.571 0.573 0.634  0.01
F 0.894 0.892 0.298  0.01
F 0.102 0.103 0.699  0.01
F 0.707 0.300 0.991  -0.01